Record 1
{
  "formula": "BeSi2Cl",
  "functional": "GGA-PBE",
  "state": "optimized geometry",
  "lattice": [[5.472, -1.459, 0.000], [5.472, 1.459, 0.000], [-0.041, 0.000, 5.466]],
  "species": ["Be", "Si", "Si", "Cl"],
  "frac_coords": [[0.000, 0.000, 0.000], [0.337, 0.337, 0.149], [0.663, 0.663, 0.149], [0.998, 0.998, 0.654]],
  "space_group": "No. 8",
  "magnetic_moment_mub_per_fu": 0.0,
  "final_energy_ev_per_atom": -3.804
}

***

Record 2
{
  "formula": "Pm2Be4Ir3",
  "functional": "GGA-PBE",
  "state": "optimized geometry",
  "lattice": [[2.839, -7.091, 0.000], [2.839, 7.091, 0.000], [0.000, 0.000, 6.873]],
  "species": ["Pm", "Pm", "Pm", "Pm", "Be", "Be", "Be", "Be", "Be", "Be", "Be", "Be", "Ir", "Ir", "Ir", "Ir", "Ir", "Ir"],
  "frac_coords": [[0.113, 0.887, 0.907], [0.387, 0.613, 0.407], [0.613, 0.387, 0.593], [0.887, 0.113, 0.093], [0.176, 0.824, 0.496], [0.187, 0.313, 0.750], [0.313, 0.187, 0.250], [0.324, 0.676, 0.996], [0.676, 0.324, 0.004], [0.687, 0.813, 0.750], [0.813, 0.687, 0.250], [0.824, 0.176, 0.504], [0.000, 0.000, 0.500], [0.023, 0.477, 0.750], [0.477, 0.023, 0.250], [0.500, 0.500, 0.000], [0.523, 0.977, 0.750], [0.977, 0.523, 0.250]],
  "space_group": "No. 64",
  "e_form_ev_per_atom": -0.43,
  "magnetic_moment_mub_per_fu": 0.0,
  "final_energy_ev_per_atom": -6.091
}

***

Record 3
{
  "formula": "Mn2ZnRh",
  "functional": "GGA-PBE",
  "state": "optimized geometry",
  "lattice": [[4.369, -1.429, 0.000], [4.369, 1.429, 0.000], [-0.992, 0.000, 4.489]],
  "species": ["Mn", "Mn", "Zn", "Rh"],
  "frac_coords": [[0.249, 0.249, 0.248], [0.751, 0.751, 0.752], [0.500, 0.500, 0.000], [0.000, 0.000, 0.500]],
  "space_group": "No. 12",
  "e_form_ev_per_atom": 0.03,
  "magnetic_moment_mub_per_fu": 7.3,
  "final_energy_ev_per_atom": -6.711
}

***

Record 4
{
  "formula": "TiCdOs2",
  "functional": "GGA-PBE",
  "state": "optimized geometry",
  "lattice": [[-2.012, 2.012, 9.115], [2.012, -2.012, 9.115], [2.012, 2.012, -9.115]],
  "species": ["Ti", "Ti", "Cd", "Cd", "Os", "Os", "Os", "Os"],
  "frac_coords": [[0.000, 0.000, 0.000], [0.750, 0.250, 0.500], [0.250, 0.750, 0.500], [0.500, 0.500, 0.000], [0.049, 0.625, 0.924], [0.375, 0.299, 0.424], [0.701, 0.125, 0.076], [0.875, 0.951, 0.576]],
  "space_group": "No. 122",
  "e_form_ev_per_atom": 0.71,
  "magnetic_moment_mub_per_fu": 0.0,
  "final_energy_ev_per_atom": -7.110
}

***

Record 5
{
  "formula": "LaTa2Tl",
  "functional": "GGA-PBE",
  "state": "optimized geometry",
  "lattice": [[3.134, 0.000, 0.000], [0.000, 5.303, 0.000], [-0.211, 0.000, 5.618]],
  "species": ["La", "Ta", "Ta", "Tl"],
  "frac_coords": [[0.000, 0.000, 0.000], [0.352, 0.500, 0.762], [0.648, 0.500, 0.238], [0.500, 0.000, 0.500]],
  "space_group": "No. 10",
  "e_form_ev_per_atom": 0.58,
  "magnetic_moment_mub_per_fu": 0.0,
  "final_energy_ev_per_atom": -7.174
}

***

Record 6
{
  "formula": "ScMn8B4",
  "functional": "GGA-PBE",
  "state": "optimized geometry",
  "lattice": [[-3.829, 3.829, 2.134], [3.829, -3.829, 2.134], [3.829, 3.829, -2.134]],
  "species": ["Sc", "Mn", "Mn", "Mn", "Mn", "Mn", "Mn", "Mn", "Mn", "B", "B", "B", "B"],
  "frac_coords": [[0.000, 0.000, 0.000], [0.000, 0.354, 0.354], [0.000, 0.646, 0.646], [0.286, 0.500, 0.786], [0.354, 0.000, 0.354], [0.500, 0.286, 0.786], [0.500, 0.714, 0.214], [0.646, 0.000, 0.646], [0.714, 0.500, 0.214], [0.000, 0.000, 0.500], [0.000, 0.500, 0.000], [0.500, 0.000, 0.000], [0.500, 0.500, 0.500]],
  "space_group": "No. 139",
  "e_form_ev_per_atom": -0.19,
  "magnetic_moment_mub_per_fu": 0.0,
  "final_energy_ev_per_atom": -8.370
}